Record 1
meta-GGA SCAN VCrO4, PBEsol geometry; space-group type = No. 12; energy = -12.69 eV/atom; total magnetic moment = 3.00 μB per formula unit; uncorrected formation energy = -2553 meV per atom
1.0
4.859 -4.381 0.000
4.859 4.381 0.000
-2.099 0.000 6.478
V Cr O
4 4 16
direct
0.228 0.228 0.604
0.250 0.750 0.000
0.750 0.250 0.000
0.772 0.772 0.396
0.297 0.297 0.143
0.319 0.681 0.500
0.681 0.319 0.500
0.703 0.703 0.857
0.002 0.294 0.111
0.028 0.703 0.471
0.294 0.002 0.111
0.295 0.295 0.866
0.297 0.972 0.529
0.303 0.608 0.204
0.361 0.361 0.458
0.392 0.697 0.796
0.608 0.303 0.204
0.639 0.639 0.542
0.697 0.392 0.796
0.703 0.028 0.471
0.705 0.705 0.134
0.706 0.998 0.889
0.972 0.297 0.529
0.998 0.706 0.889

Record 2
meta-GGA SCAN V3CrO10, PBEsol geometry; space-group type = No. 115; energy = -11.80 eV/atom; total magnetic moment = 0.99 μB per formula unit; uncorrected formation energy = -2291 meV per atom
1.0
6.508 0.000 0.000
0.000 6.508 0.000
0.000 0.000 4.095
V Cr O
3 1 10
direct
0.000 0.000 0.000
0.000 0.500 0.143
0.500 0.000 0.857
0.500 0.500 0.000
0.000 0.219 0.233
0.000 0.500 0.752
0.000 0.781 0.233
0.219 0.000 0.767
0.290 0.500 0.230
0.500 0.000 0.248
0.500 0.290 0.770
0.500 0.710 0.770
0.710 0.500 0.230
0.781 0.000 0.767

Record 3
meta-GGA SCAN V3CrO8, PBEsol geometry; space-group type = No. 8; energy = -12.64 eV/atom; total magnetic moment = 5.00 μB per formula unit; uncorrected formation energy = -2581 meV per atom
1.0
5.927 -1.860 0.000
5.927 1.860 0.000
-1.855 0.000 6.005
V Cr O
3 1 8
direct
0.000 0.000 0.000
0.103 0.103 0.585
0.302 0.302 0.012
0.405 0.405 0.595
0.059 0.059 0.283
0.144 0.144 0.931
0.257 0.257 0.650
0.342 0.342 0.293
0.463 0.463 0.940
0.569 0.569 0.589
0.833 0.833 0.983
0.941 0.941 0.644